# 1
This record from the Alexandria database describes an optimized crystal structure of Ba3Tc. The functional is PBE.

a b c (Å): 7.400 8.033 11.139
angles (deg): 90.00 90.00 90.00
Site moments in Bohr magnetons follow the coordinates.
Sites, in units of the cell vectors:
Ba1 0.328 0.838 0.424  0.02
Ba2 0.172 0.338 0.076  0.02
Ba3 0.828 0.662 0.924  0.02
Ba4 0.672 0.162 0.576  0.02
Ba5 0.654 0.429 0.250  0.02
Ba6 0.328 0.838 0.076  0.02
Ba7 0.846 0.929 0.250  0.02
Ba8 0.672 0.162 0.924  0.02
Ba9 0.828 0.662 0.576  0.02
Ba10 0.154 0.071 0.750  0.02
Ba11 0.172 0.338 0.424  0.02
Ba12 0.346 0.571 0.750  0.02
Tc1 0.483 0.056 0.250  0.17
Tc2 0.017 0.556 0.250  0.17
Tc3 0.983 0.444 0.750  0.17
Tc4 0.517 0.944 0.750  0.17

Results
The formation energy comes out at 592.0 meV per atom. The calculation puts the total energy at -0.2529 Ry per atom.



# 2
This record from the Alexandria database describes an optimized crystal structure of Ba2Tc. The functional is PBE.

a b c (Å): 8.715 8.715 4.894
angles (deg): 90.00 90.00 120.00
Site moments in Bohr magnetons follow the coordinates.
Sites, in units of the cell vectors:
Ba1 0.406 0.406 0.500  -0.10
Ba2 0.742 0.742 0.000  -0.09
Ba3 0.594 0.000 0.500  -0.10
Ba4 0.000 0.258 0.000  -0.09
Ba5 0.000 0.594 0.500  -0.10
Ba6 0.258 0.000 0.000  -0.09
Tc1 0.333 0.667 0.000  1.89
Tc2 0.000 0.000 0.500  1.22
Tc3 0.667 0.333 0.000  1.89

Results
The formation energy comes out at 896.8 meV per atom. The calculation puts the total energy at -0.2823 Ry per atom.



# 3
This record from the Alexandria database describes an optimized crystal structure of Ba2Tc. The functional is PBE.

a b c (Å): 5.567 5.567 7.752
angles (deg): 90.00 90.00 120.00
Site moments in Bohr magnetons follow the coordinates.
Sites, in units of the cell vectors:
Ba1 0.000 0.000 0.500  -0.13
Ba2 0.333 0.667 0.250  -0.10
Ba3 0.667 0.333 0.750  -0.10
Ba4 0.000 0.000 0.000  -0.13
Tc1 0.667 0.333 0.250  1.75
Tc2 0.333 0.667 0.750  1.75

Results
The formation energy comes out at 934.8 meV per atom. The calculation puts the total energy at -0.2795 Ry per atom.



# 4
This record from the Alexandria database describes an optimized crystal structure of BaTc3. The functional is PBE.

a b c (Å): 7.047 7.047 8.060
angles (deg): 90.00 90.00 120.00
Sites, in units of the cell vectors:
Tc1 0.783 0.217 0.250
Tc2 0.433 0.217 0.250
Tc3 0.500 0.500 0.500
Tc4 0.500 0.000 0.500
Tc5 0.217 0.433 0.750
Tc6 0.567 0.783 0.750
Tc7 0.000 0.500 0.000
Tc8 0.000 0.500 0.500
Tc9 0.217 0.783 0.750
Tc10 0.500 0.500 0.000
Tc11 0.500 0.000 0.000
Tc12 0.783 0.567 0.250
Ba1 0.000 0.000 0.000
Ba2 0.000 0.000 0.500
Ba3 0.667 0.333 0.750
Ba4 0.333 0.667 0.250

Results
The formation energy comes out at 1142.2 meV per atom. The calculation puts the total energy at -0.5228 Ry per atom.



# 5
This record from the Alexandria database describes an optimized crystal structure of Ba2Tc. The functional is PBE.

a b c (Å): 16.391 16.391 16.391
angles (deg): 166.89 166.89 18.59
Site moments in Bohr magnetons follow the coordinates.
Sites, in units of the cell vectors:
Tc1 0.500 0.500 0.000  0.95
Tc2 0.250 0.750 0.500  0.95
Ba1 0.810 0.310 0.500  -0.04
Ba2 0.940 0.940 0.000  -0.04
Ba3 0.060 0.060 0.000  -0.04
Ba4 0.690 0.190 0.500  -0.04

Results
The formation energy comes out at 845.6 meV per atom. The calculation puts the total energy at -0.2860 Ry per atom.



# 6
This record from the Alexandria database describes an optimized crystal structure of BaTc. The functional is PBE.

a b c (Å): 5.850 5.850 4.572
angles (deg): 90.00 90.00 120.00
Sites, in units of the cell vectors:
Ba1 0.333 0.667 0.250
Ba2 0.667 0.333 0.750
Tc1 0.000 0.000 0.500
Tc2 0.000 0.000 0.000

Results
The formation energy comes out at 728.6 meV per atom. The calculation puts the total energy at -0.3981 Ry per atom.



# 7
This record from the Alexandria database describes an optimized crystal structure of BaTc3. The functional is PBE.

a b c (Å): 3.238 3.238 7.970
angles (deg): 90.00 90.00 90.00
Sites, in units of the cell vectors:
Tc1 0.000 0.000 0.500
Tc2 0.500 0.500 0.338
Tc3 0.500 0.500 0.662
Ba1 0.000 0.000 0.000

Results
The formation energy comes out at 681.5 meV per atom. The calculation puts the total energy at -0.5567 Ry per atom.



# 8
This record from the Alexandria database describes an optimized crystal structure of BaTc. The functional is PBE.

a b c (Å): 6.679 6.677 3.904
angles (deg): 73.00 73.00 49.01
Sites, in units of the cell vectors:
Ba1 0.817 0.650 0.767
Ba2 0.100 0.933 0.983
Tc1 0.513 0.347 0.570
Tc2 0.404 0.237 0.180

Results
The formation energy comes out at 567.2 meV per atom. The calculation puts the total energy at -0.4099 Ry per atom.